#P
{
  "formula": "CaNdCo",
  "functional": "PBE-GGA",
  "state": "optimized geometry",
  "cell": [[-0.175, 1.997, 3.409], [-3.824, -1.115, 0.457], [5.146, -8.337, 5.148]],
  "species": ["Nd", "Nd", "Ca", "Ca", "Co", "Co"],
  "fractional_positions": [[0.750, 0.928, 0.857], [0.250, 0.072, 0.143], [0.750, 0.689, 0.378], [0.250, 0.311, 0.622], [0.250, 0.472, 0.944], [0.750, 0.528, 0.056]]
}

---

#Q
{
  "formula": "CaNdCo",
  "functional": "PBE-GGA",
  "state": "optimized geometry",
  "cell": [[3.473, 0.000, 0.000], [0.000, 3.473, 0.000], [-1.736, -1.736, 6.577]],
  "species": ["Nd", "Ca", "Co"],
  "fractional_positions": [[0.289, 0.289, 0.577], [0.037, 0.037, 0.073], [0.675, 0.675, 0.350]]
}

---

List of relative energies, unit meV per atom: #P 0; #Q 119